Crystalline Hf2ScHgH at its relaxed geometry, computed with PBE. Values from VASP.

```
&SYSTEM
  ibrav = 0, nat = 5, ntyp = 4
/
ATOMIC_SPECIES
Hf 178.49 Hf.upf
Sc 44.96 Sc.upf
Hg 200.59 Hg.upf
H 1.01 H.upf
ATOMIC_POSITIONS angstrom
Hf 0.000 2.196 0.000
Hf 2.196 0.000 0.000
Sc 0.000 0.000 2.247
Hg 2.196 2.196 2.247
H 0.000 0.000 0.000
CELL_PARAMETERS angstrom
4.392 0.000 0.000
0.000 4.392 0.000
0.000 0.000 4.494
```

Computed properties:
Total magnetization in μB per cell: 0.0
Uncorrected energy in eV per atom: -6.178
Symmetry: No. 123